A:
{"formula": "Si2W2Se", "functional": "PBE-GGA", "state": "optimized geometry", "magmom_total_mub_per_atom": 0.0000, "volume_a3_per_atom": 15.79, "cell": [[-2.184, -5.447, -3.858], [5.462, -3.792, 2.262], [-1.749, -1.047, 2.469]], "species": ["Si", "Si", "Si", "Si", "Se", "Se", "W", "W", "W", "W"], "frac_coords": [[0.132, 0.632, 0.500], [0.632, 0.868, 0.500], [0.868, 0.368, 0.500], [0.368, 0.132, 0.500], [0.000, 0.000, 0.000], [0.500, 0.500, 0.000], [0.344, 0.844, 0.000], [0.844, 0.656, 0.000], [0.656, 0.156, 0.000], [0.156, 0.344, 0.000]]}

B:
{"formula": "Si2W2Se", "functional": "PBE-GGA", "state": "optimized geometry", "magmom_total_mub_per_atom": 0.0000, "volume_a3_per_atom": 15.58, "cell": [[3.388, 0.000, 0.000], [0.000, 3.388, 0.000], [1.694, 1.694, 6.787]], "species": ["Si", "Si", "Se", "W", "W"], "frac_coords": [[0.750, 0.250, 0.500], [0.250, 0.750, 0.500], [0.000, 0.000, 0.000], [0.389, 0.389, 0.223], [0.611, 0.611, 0.777]]}

Order from most stable to least stable according to the calculation: B, A